Record 1
! KAgPb2, single point on PBEsol structure, DFT meta-GGA SCAN; values from VASP
&SYSTEM
  ibrav = 0, nat = 4, ntyp = 3
/
ATOMIC_SPECIES
K 39.10 K.upf
Pb 207.20 Pb.upf
Ag 107.87 Ag.upf
CELL_PARAMETERS angstrom
3.4634 0.0000 -0.0168
0.0000 4.6973 0.0000
-1.5543 0.0000 7.1287
ATOMIC_POSITIONS angstrom
K -0.7772 2.3486 3.5644
Pb 0.8233 0.0000 1.3617
Pb 1.0858 0.0000 5.7502
Ag 1.7317 2.3486 -0.0084
! D(E_F), states/eV/f.u.: 1.435
! E, eV/atom: -47.91
! E_form, eV per formula unit: -0.37

---

Record 2
! KAg2Pd2, single point on PBEsol structure, DFT meta-GGA SCAN; values from VASP
&SYSTEM
  ibrav = 0, nat = 10, ntyp = 3
/
ATOMIC_SPECIES
Pd 106.42 Pd.upf
Ag 107.87 Ag.upf
K 39.10 K.upf
CELL_PARAMETERS angstrom
-2.7329 0.4905 0.1626
-0.0463 -2.8035 7.6805
1.5185 7.5440 2.7629
ATOMIC_POSITIONS angstrom
Pd -0.1347 4.6444 7.5128
Pd -0.3592 4.8159 3.2220
Pd -0.9015 0.4152 7.3840
Pd -1.1260 0.5866 3.0931
Ag 0.9080 2.2585 8.4488
Ag 1.3118 5.5513 5.3012
Ag 0.1604 -0.8108 5.1422
Ag 0.5642 2.4820 1.9945
K 0.0000 0.0000 0.0000
K 0.7361 2.3703 5.2217
! D(E_F), states/eV/f.u.: 1.162
! E, eV/atom: -27.33
! E_form, eV per formula unit: -0.02

---

Record 3
! KAg2PdW, single point on PBEsol structure, DFT meta-GGA SCAN; values from VASP
&SYSTEM
  ibrav = 0, nat = 5, ntyp = 4
/
ATOMIC_SPECIES
Ag 107.87 Ag.upf
W 183.84 W.upf
K 39.10 K.upf
Pd 106.42 Pd.upf
CELL_PARAMETERS angstrom
4.7276 0.0000 0.0000
0.0000 4.9667 0.0000
0.0000 0.0000 4.9667
ATOMIC_POSITIONS angstrom
Ag 0.0000 2.4833 0.0000
Ag 0.0000 0.0000 2.4833
W 2.3638 2.4833 2.4833
K 0.0000 0.0000 0.0000
Pd 2.3638 0.0000 0.0000
! D(E_F), states/eV/f.u.: 2.406
! E, eV/atom: -32.39
! E_form, eV per formula unit: 11.56

---

Record 4
! KAg2Pt, single point on PBEsol structure, DFT meta-GGA SCAN; values from VASP
&SYSTEM
  ibrav = 0, nat = 4, ntyp = 3
/
ATOMIC_SPECIES
Ag 107.87 Ag.upf
Pt 195.08 Pt.upf
K 39.10 K.upf
CELL_PARAMETERS angstrom
-2.3381 1.2378 1.9502
1.1813 -1.7437 2.5231
4.7020 5.9126 1.8847
ATOMIC_POSITIONS angstrom
Ag 3.2252 4.0555 1.2927
Ag 1.4769 1.8571 0.5920
Pt 1.7726 2.7033 3.1790
K -0.5784 -0.2530 2.2366
! D(E_F), states/eV/f.u.: 1.386
! E, eV/atom: -35.10
! E_form, eV per formula unit: 0.85

---

Record 5
! KAgPt, single point on PBEsol structure, DFT meta-GGA SCAN; values from VASP
&SYSTEM
  ibrav = 0, nat = 3, ntyp = 3
/
ATOMIC_SPECIES
Ag 107.87 Ag.upf
Pt 195.08 Pt.upf
K 39.10 K.upf
CELL_PARAMETERS angstrom
4.7050 0.0000 0.0000
2.3525 4.0746 0.0000
2.3525 1.3582 3.8416
ATOMIC_POSITIONS angstrom
Ag 0.0000 0.0000 0.0000
Pt 2.3525 1.3582 0.9604
K 4.7050 2.7164 1.9208
! E, eV/atom: -36.23
! E_form, eV per formula unit: 1.20

---

Record 6
! K2RbAg2, single point on PBEsol structure, DFT meta-GGA SCAN; values from VASP
&SYSTEM
  ibrav = 0, nat = 10, ntyp = 3
/
ATOMIC_SPECIES
Ag 107.87 Ag.upf
K 39.10 K.upf
Rb 85.47 Rb.upf
CELL_PARAMETERS angstrom
4.8720 0.0000 0.0000
0.0000 8.9183 0.0000
0.0000 0.0000 8.9183
ATOMIC_POSITIONS angstrom
Ag 0.0000 7.9372 5.4403
Ag 0.0000 3.4780 7.9372
Ag 0.0000 0.9811 3.4780
Ag 0.0000 5.4403 0.9811
K 2.4360 5.9118 7.4656
K 2.4360 3.0065 1.4526
K 2.4360 1.4526 5.9118
K 2.4360 7.4656 3.0065
Rb 0.0000 0.0000 0.0000
Rb 0.0000 4.4591 4.4591
! D(E_F), states/eV/f.u.: 2.567
! Distance to the lowest polymorph of the same formula, eV per atom: 0.000
! E, eV/atom: -19.95
! E_form, eV per formula unit: 0.39

---

Record 7
! K2RbAg2, single point on PBEsol structure, DFT meta-GGA SCAN; values from VASP
&SYSTEM
  ibrav = 0, nat = 5, ntyp = 3
/
ATOMIC_SPECIES
K 39.10 K.upf
Ag 107.87 Ag.upf
Rb 85.47 Rb.upf
CELL_PARAMETERS angstrom
-0.5974 -2.2507 -4.7383
5.1584 -1.1181 -0.1193
-3.5714 -4.6077 5.5804
ATOMIC_POSITIONS angstrom
K -0.9442 -4.2714 -0.7934
K 1.9338 -3.7051 1.5161
Ag 2.0371 -2.8706 -1.8346
Ag -1.0475 -5.1059 2.5574
Rb 0.0000 0.0000 0.0000
! D(E_F), states/eV/f.u.: 2.342
! Distance to the lowest polymorph of the same formula, eV per atom: 0.018
! E, eV/atom: -19.93
! E_form, eV per formula unit: 0.47

---

Record 8
! KRbAg3, single point on PBEsol structure, DFT meta-GGA SCAN; values from VASP
&SYSTEM
  ibrav = 0, nat = 5, ntyp = 3
/
ATOMIC_SPECIES
Ag 107.87 Ag.upf
K 39.10 K.upf
Rb 85.47 Rb.upf
CELL_PARAMETERS angstrom
6.0711 0.0000 0.0000
0.0000 6.0711 0.0000
0.0000 0.0000 6.0711
ATOMIC_POSITIONS angstrom
Ag 3.0356 0.0000 0.0000
Ag 0.0000 3.0356 0.0000
Ag 0.0000 0.0000 3.0356
K 3.0356 3.0356 3.0356
Rb 0.0000 0.0000 0.0000
! D(E_F), states/eV/f.u.: 5.199
! E, eV/atom: -23.80
! E_form, eV per formula unit: 4.15

---

Record 9
! KRe2Ag, single point on PBEsol structure, DFT meta-GGA SCAN; values from VASP
&SYSTEM
  ibrav = 0, nat = 4, ntyp = 3
/
ATOMIC_SPECIES
Re 186.21 Re.upf
K 39.10 K.upf
Ag 107.87 Ag.upf
CELL_PARAMETERS angstrom
-0.4942 3.0512 0.3509
-4.1292 -0.2558 -3.5918
-0.8471 -2.3346 5.3186
ATOMIC_POSITIONS angstrom
Re -0.3450 -0.1023 0.4039
Re -1.6773 1.1014 1.8498
K -3.6674 -0.6033 0.0806
Ag -2.9395 -0.8718 3.4413
! D(E_F), states/eV/f.u.: 1.216
! Distance to the lowest polymorph of the same formula, eV per atom: 0.585
! E, eV/atom: -44.23
! E_form, eV per formula unit: 4.97

---

Record 10
! KReAg2, single point on PBEsol structure, DFT meta-GGA SCAN; values from VASP
&SYSTEM
  ibrav = 0, nat = 4, ntyp = 3
/
ATOMIC_SPECIES
K 39.10 K.upf
Ag 107.87 Ag.upf
Re 186.21 Re.upf
CELL_PARAMETERS angstrom
-0.7554 1.9247 -1.7660
1.6460 -1.7519 -1.2710
-8.2497 -5.7583 -2.7470
ATOMIC_POSITIONS angstrom
K -4.0927 -2.8567 -1.3628
Ag -0.0175 -0.0122 -0.0058
Ag -5.9800 -4.3985 -3.6581
Re -1.3936 -1.1972 -2.1309
! D(E_F), states/eV/f.u.: 2.013
! Distance to the lowest polymorph of the same formula, eV per atom: 0.000
! E, eV/atom: -34.78
! E_form, eV per formula unit: 3.02

---

Record 11
! KRe2Ag, single point on PBEsol structure, DFT meta-GGA SCAN; values from VASP
&SYSTEM
  ibrav = 0, nat = 4, ntyp = 3
/
ATOMIC_SPECIES
Ag 107.87 Ag.upf
K 39.10 K.upf
Re 186.21 Re.upf
CELL_PARAMETERS angstrom
-2.1444 -0.6697 1.4287
-0.2804 -4.2039 -2.3915
3.2477 -2.3604 3.7683
ATOMIC_POSITIONS angstrom
Ag 0.5516 -1.5150 2.5985
K 1.4836 -3.2821 0.6884
Re 0.0000 0.0000 0.0000
Re -1.2124 -2.4368 -0.4814
! D(E_F), states/eV/f.u.: 2.733
! Distance to the lowest polymorph of the same formula, eV per atom: 0.543
! E, eV/atom: -44.27
! E_form, eV per formula unit: 4.80

---

Record 12
! KReAg, single point on PBEsol structure, DFT meta-GGA SCAN; values from VASP
&SYSTEM
  ibrav = 0, nat = 3, ntyp = 3
/
ATOMIC_SPECIES
Re 186.21 Re.upf
K 39.10 K.upf
Ag 107.87 Ag.upf
CELL_PARAMETERS angstrom
2.6236 0.0000 0.0000
0.0000 4.4679 0.0000
-1.3118 -2.2339 5.9484
ATOMIC_POSITIONS angstrom
Re 0.0000 0.0000 4.6030
K 1.3118 2.2339 1.9689
Ag 1.3118 2.2339 5.3250
! D(E_F), states/eV/f.u.: 1.847
! Distance to the lowest polymorph of the same formula, eV per atom: 0.000
! E, eV/atom: -35.85
! E_form, eV per formula unit: 3.24

---

Record 13
! KRe2Ag, single point on PBEsol structure, DFT meta-GGA SCAN; values from VASP
&SYSTEM
  ibrav = 0, nat = 4, ntyp = 3
/
ATOMIC_SPECIES
K 39.10 K.upf
Ag 107.87 Ag.upf
Re 186.21 Re.upf
CELL_PARAMETERS angstrom
3.0167 0.0000 0.0732
0.0000 3.0176 0.0000
-0.2157 0.0000 8.8709
ATOMIC_POSITIONS angstrom
K 1.3451 1.5088 6.6947
Ag -0.0966 0.0000 3.9917
Re 1.4603 1.5088 2.0312
Re -0.0157 0.0000 0.6620
! D(E_F), states/eV/f.u.: 2.852
! Distance to the lowest polymorph of the same formula, eV per atom: 0.000
! E, eV/atom: -44.81
! E_form, eV per formula unit: 2.63

---

Record 14
! KReAg2, single point on PBEsol structure, DFT meta-GGA SCAN; values from VASP
&SYSTEM
  ibrav = 0, nat = 4, ntyp = 3
/
ATOMIC_SPECIES
Ag 107.87 Ag.upf
K 39.10 K.upf
Re 186.21 Re.upf
CELL_PARAMETERS angstrom
-0.0185 1.5587 2.1535
-1.5229 -4.0475 2.9164
6.0690 -0.0443 -1.5567
ATOMIC_POSITIONS angstrom
Ag 4.5178 -2.5306 3.5114
Ag 2.3859 0.1968 1.5190
K 5.2545 -1.2780 0.9701
Re 2.1955 -2.7429 2.0041
! D(E_F), states/eV/f.u.: 1.617
! Distance to the lowest polymorph of the same formula, eV per atom: 0.154
! E, eV/atom: -34.63
! E_form, eV per formula unit: 3.64